# 1
# PBE Th2PdRu2, relaxed
data_Th2PdRu2
_chemical_formula_sum 'Th4 Pd2 Ru4'
_symmetry_space_group_name_H-M 'I m m m'
_symmetry_Int_Tables_number 71
_symmetry_space_group_name_Hall '-I 2 2'
_cell_length_a 4.5922
_cell_length_b 5.7702
_cell_length_c 8.0269
_cell_angle_alpha 90.00
_cell_angle_beta 90.00
_cell_angle_gamma 90.00
loop_
_atom_site_label
_atom_site_fract_x
_atom_site_fract_y
_atom_site_fract_z
Th1 0.0000 0.0000 0.2086
Pd1 0.0000 0.5000 0.0000
Ru1 0.0000 0.2553 0.5000
# Calculated volume ... 213 Å³ per cell
# Total energy ... -8.227 eV/atom
# Energy of formation from the pure elements ... -2.6 eV per formula unit

---

# 2
# PBE Bi2HRh3, relaxed
data_Bi2HRh3
_chemical_formula_sum 'Bi8 H4 Rh12'
_symmetry_space_group_name_H-M 'C m c 21'
_symmetry_Int_Tables_number 36
_symmetry_space_group_name_Hall 'C 2c -2'
_cell_length_a 11.0069
_cell_length_b 6.6316
_cell_length_c 5.5580
_cell_angle_alpha 90.00
_cell_angle_beta 90.00
_cell_angle_gamma 90.00
loop_
_atom_site_label
_atom_site_fract_x
_atom_site_fract_y
_atom_site_fract_z
Bi1 0.1645 0.1465 0.0000
H1 0.0000 0.4441 0.5251
Rh1 0.0000 0.1610 0.5719
Rh2 0.1258 0.4818 0.2745
# Calculated volume ... 406 Å³ per cell
# Total energy ... -5.545 eV/atom

---

# 3
# PBE ZrBRh3, relaxed
data_ZrBRh3
_chemical_formula_sum 'Zr2 B2 Rh6'
_symmetry_space_group_name_H-M 'P 1'
_symmetry_Int_Tables_number 1
_symmetry_space_group_name_Hall 'P 1'
_cell_length_a 3.9662
_cell_length_b 4.0227
_cell_length_c 9.0082
_cell_angle_alpha 96.51
_cell_angle_beta 96.31
_cell_angle_gamma 90.30
loop_
_atom_site_label
_atom_site_fract_x
_atom_site_fract_y
_atom_site_fract_z
Zr1 0.0000 0.0000 0.0000
Zr2 0.0634 0.5700 0.2755
B1 0.1282 0.6646 0.5901
B2 0.4319 0.4102 0.6923
Rh1 0.1181 0.1274 0.4986
Rh2 0.4350 0.9533 0.7839
Rh3 0.5061 0.5120 0.0231
Rh4 0.5605 0.0683 0.2636
Rh5 0.6190 0.6253 0.4973
Rh6 0.9375 0.4569 0.7858
# Calculated volume ... 142 Å³ per cell
# Total energy ... -8.051 eV/atom
# Energy of formation from the pure elements ... -3.0 eV per formula unit

---

# 4
# PBE TlReNi4, relaxed
data_TlReNi4
_chemical_formula_sum 'Tl4 Re4 Ni16'
_symmetry_space_group_name_H-M 'F -4 3 m'
_symmetry_Int_Tables_number 216
_symmetry_space_group_name_Hall 'F -4 2 3'
_cell_length_a 6.8210
_cell_length_b 6.8210
_cell_length_c 6.8210
_cell_angle_alpha 90.00
_cell_angle_beta 90.00
_cell_angle_gamma 90.00
loop_
_atom_site_label
_atom_site_fract_x
_atom_site_fract_y
_atom_site_fract_z
Tl1 0.0000 0.0000 0.0000
Re1 0.2500 0.2500 0.7500
Ni1 0.1241 0.1241 0.3759
# Calculated volume ... 317 Å³ per cell
# Total energy ... -5.946 eV/atom
# Energy of formation from the pure elements ... 2.3 eV per formula unit

---

# 5
# PBE Li3Dy2Hg4, relaxed
data_Li3Dy2Hg4
_chemical_formula_sum 'Li3 Dy2 Hg4'
_symmetry_space_group_name_H-M 'P -1'
_symmetry_Int_Tables_number 2
_symmetry_space_group_name_Hall '-P 1'
_cell_length_a 4.8734
_cell_length_b 5.0997
_cell_length_c 9.1002
_cell_angle_alpha 81.68
_cell_angle_beta 89.96
_cell_angle_gamma 61.46
loop_
_atom_site_label
_atom_site_fract_x
_atom_site_fract_y
_atom_site_fract_z
Li1 0.0000 0.0000 0.0000
Li2 0.3621 0.2744 0.4265
Dy1 0.3040 0.3931 0.7711
Hg1 0.0460 0.9065 0.3538
Hg2 0.3538 0.2916 0.1113
# Calculated volume ... 196 Å³ per cell
# Polymorph energy (0 for the lowest one) ... 0 meV/atom
# Total energy ... -2.162 eV/atom
# Energy of formation from the pure elements ... -3.3 eV per formula unit

---

# 6
# PBE TbPuSi, relaxed
data_TbPuSi
_chemical_formula_sum 'Tb4 Pu4 Si4'
_symmetry_space_group_name_H-M 'F -4 3 m'
_symmetry_Int_Tables_number 216
_symmetry_space_group_name_Hall 'F -4 2 3'
_cell_length_a 6.8793
_cell_length_b 6.8793
_cell_length_c 6.8793
_cell_angle_alpha 90.00
_cell_angle_beta 90.00
_cell_angle_gamma 90.00
loop_
_atom_site_label
_atom_site_fract_x
_atom_site_fract_y
_atom_site_fract_z
Tb1 0.0000 0.0000 0.0000
Pu1 0.0000 0.0000 0.5000
Si1 0.2500 0.2500 0.2500
# Calculated volume ... 326 Å³ per cell
# ΔE_f (raw) ... -0.21 eV per atom
# Polymorph energy (0 for the lowest one) ... 0 meV/atom
# Total energy ... -8.336 eV/atom